# 1
Computed, not measured: a relaxed structure of Nd3InRh at the GGA-PBE level of DFT.

Total magnetic moment (μB per formula unit): 0.00
Relative energy among the computed polymorphs (meV per atom): 170
E (eV per atom): -5.1778

Cell lengths 5.473, 5.473, 5.473 Å; angles 90.00, 90.00, 90.00 degrees
Sites, in units of the cell vectors:
Rh 0.000 0.000 0.000
Nd 0.000 0.000 0.500
Nd 0.500 0.000 0.000
Nd 0.000 0.500 0.000
In 0.500 0.500 0.500

# 2
Computed, not measured: a relaxed structure of Nd4InRh at the GGA-PBE level of DFT.

Total magnetic moment (μB per formula unit): 0.00
Relative energy among the computed polymorphs (meV per atom): 78
E (eV per atom): -5.2594

Cell lengths 6.139, 8.627, 8.392 Å; angles 113.92, 102.35, 107.16 degrees
Sites, in units of the cell vectors:
Nd 0.359 0.931 0.634
Nd 0.225 0.297 0.366
Nd 0.775 0.703 0.634
Nd 0.052 0.205 0.857
Rh 0.750 0.000 0.001
Nd 0.641 0.069 0.366
In 0.371 0.621 0.243
Nd 0.695 0.348 0.143
Nd 0.305 0.652 0.857
Nd 0.948 0.795 0.143
Rh 0.250 0.000 0.999
In 0.629 0.379 0.757

# 3
Computed, not measured: a relaxed structure of NdIn3Rh2 at the GGA-PBE level of DFT.

Total magnetic moment (μB per formula unit): 0.00
E (eV per atom): -5.0688

Cell lengths 4.549, 9.613, 10.130 Å; angles 115.20, 90.00, 103.69 degrees
Sites, in units of the cell vectors:
Rh 0.169 0.338 0.068
Rh 0.530 0.060 0.827
In 0.789 0.578 0.624
Nd 0.169 0.339 0.682
Rh 0.470 0.940 0.173
Nd 0.831 0.661 0.318
In 0.622 0.244 0.165
Rh 0.369 0.739 0.559
In 0.211 0.422 0.376
Rh 0.831 0.662 0.932
In 0.971 0.942 0.664
In 0.313 0.627 0.067
Rh 0.631 0.261 0.441
Nd 0.000 0.000 0.000
In 0.687 0.373 0.933
In 0.378 0.756 0.835
In 0.500 0.000 0.500
In 0.029 0.058 0.336

# 4
Computed, not measured: a relaxed structure of Nd2In5Rh3 at the GGA-PBE level of DFT.

Total magnetic moment (μB per formula unit): 0.00
E (eV per atom): -5.0871

Cell lengths 4.525, 7.335, 13.514 Å; angles 90.00, 99.64, 90.00 degrees
Sites, in units of the cell vectors:
Rh 0.230 0.186 0.460
Rh 0.955 0.506 0.909
Nd 0.526 0.293 0.052
Rh 0.045 0.006 0.091
Nd 0.474 0.793 0.948
In 0.706 0.391 0.413
Rh 0.391 0.027 0.781
Rh 0.609 0.527 0.219
In 0.290 0.488 0.580
Nd 0.825 0.197 0.650
In 0.947 0.122 0.894
In 0.127 0.248 0.255
In 0.598 0.908 0.196
In 0.873 0.748 0.745
Nd 0.175 0.697 0.350
In 0.053 0.622 0.106
In 0.710 0.988 0.420
Rh 0.770 0.686 0.540
In 0.294 0.891 0.587
In 0.402 0.408 0.804

Which formula does entry 2 have?
Nd4InRh